[1]
4
Lattice="-1.630 2.422 4.378 1.630 -2.422 4.378 1.630 2.422 -4.378" Properties=species:S:1:pos:R:3 comment="YMo2Rh (GGA-PBEsol, relaxed)" total_energy_ev_per_atom=-9.456 crystal_system=orthorhombic space_group=Imm2 rho_g_cm3=9.21 pbc="T T T"
Y 0.000 0.000 0.000
Mo 0.000 0.000 4.482
Mo 0.000 2.422 1.958
Rh 1.630 0.000 2.331

***

[2]
4
Lattice="6.037 -1.599 0.000 6.037 1.599 0.000 -1.805 0.000 5.461" Properties=species:S:1:pos:R:3 comment="Sr2HgW (GGA-PBEsol, relaxed)" total_energy_ev_per_atom=-3.849 crystal_system=monoclinic space_group=Cm rho_g_cm3=8.82 pbc="T T T"
Sr 0.000 0.000 0.000
Sr 1.236 0.000 3.378
Hg 8.868 0.000 0.860
W 4.435 0.000 2.525

***

[3]
4
Lattice="-1.860 2.629 5.262 1.860 -2.629 5.262 1.860 2.629 -5.262" Properties=species:S:1:pos:R:3 comment="Tl2PbAu (GGA-PBEsol, relaxed)" total_energy_ev_per_atom=-3.256 crystal_system=orthorhombic space_group=Imm2 rho_g_cm3=13.11 pbc="T T T"
Tl 0.000 0.000 0.000
Tl 0.000 2.629 2.278
Pb 0.000 0.000 4.563
Au 1.860 0.000 2.296

***

[4]
4
Lattice="2.760 0.000 0.000 0.000 4.218 0.000 -1.394 0.000 4.385" Properties=species:S:1:pos:R:3 comment="AlFe2As (GGA-PBEsol, relaxed)" total_energy_ev_per_atom=-6.803 crystal_system=monoclinic space_group=Pm rho_g_cm3=6.95 pbc="T T T"
Al 0.000 0.000 0.000
Fe 0.000 2.109 3.152
Fe 1.384 0.000 2.106
As 1.382 2.109 1.198

***

[5]
6
Lattice="0.000 4.029 4.029 4.029 0.000 4.029 4.029 4.029 0.000" Properties=species:S:1:pos:R:3 comment="LaTa4Br (GGA-PBEsol, relaxed)" total_energy_ev_per_atom=-8.885 crystal_system=cubic space_group=F-43m e_form_raw_kj_per_mol_atoms=66 rho_g_cm3=11.97 pbc="T T T"
La 0.000 0.000 0.000
Ta 2.981 2.981 2.981
Ta 5.076 5.076 2.981
Ta 5.076 2.981 5.076
Ta 2.981 5.076 5.076
Br 6.043 6.043 6.043

***

[6]
4
Lattice="2.911 0.000 0.000 0.000 4.234 0.000 -0.743 0.000 4.590" Properties=species:S:1:pos:R:3 comment="ScTaCo2 (GGA-PBEsol, relaxed)" total_energy_ev_per_atom=-8.892 crystal_system=monoclinic space_group=Pm rho_g_cm3=10.09 pbc="T T T"
Sc 0.000 0.000 0.000
Ta 2.075 2.117 2.061
Co 0.693 0.000 2.434
Co 0.681 2.117 4.170

***

[7]
8
Lattice="-3.954 3.954 4.267 3.954 -3.954 4.267 3.954 3.954 -4.267" Properties=species:S:1:pos:R:3 comment="KCuI2 (GGA-PBEsol, relaxed)" total_energy_ev_per_atom=-2.980 crystal_system=tetragonal space_group=I-42d e_form_raw_kj_per_mol_atoms=-70 rho_g_cm3=4.44 pbc="T T T"
K 0.000 0.000 0.000
K 0.000 3.954 2.133
Cu 3.954 0.000 2.133
Cu 0.000 0.000 4.267
I 1.977 -1.294 3.200
I 2.660 1.977 1.067
I 1.977 5.248 -1.067
I 1.294 1.977 5.333

***

[8]
15
Lattice="5.288 0.000 0.000 -2.376 4.792 0.000 -2.464 -1.363 5.070" Properties=species:S:1:pos:R:3 comment="Li8FeO5F (GGA-PBEsol, relaxed)" total_energy_ev_per_atom=-5.412 crystal_system=triclinic space_group=P1 e_form_raw_kj_per_mol_atoms=-182 rho_g_cm3=2.72 pbc="T T T"
Li 0.000 0.000 0.000
Li -1.766 -0.072 3.181
Li -0.990 1.641 1.759
Li -1.562 3.332 3.242
Li 1.643 0.100 1.697
Li -0.089 0.260 4.841
Li 0.767 1.745 3.120
Li 1.917 3.117 1.644
Fe -2.687 1.543 4.788
O -3.367 3.142 3.741
O -1.576 3.293 1.129
O -1.001 1.596 3.736
O 0.793 1.678 1.086
O 1.716 0.158 3.770
F 3.486 0.034 1.291